# POsWO2, relaxed, DFT GGA+U
# Calculated total energy ... -6.85 eV per atom
# Magnetic moment ... 3.4 μB/f.u.
# DOS at the Fermi energy ... 2.53 states/eV/cell
data_POsWO2
_chemical_formula_sum 'P1 Os1 W1 O2'
_space_group_name_H-M_alt 'P 1'
_space_group_IT_number 1
_cell_length_a 3.765
_cell_length_b 3.765
_cell_length_c 5.567
_cell_angle_alpha 90.00
_cell_angle_beta 90.00
_cell_angle_gamma 90.00
loop_
_space_group_symop_operation_xyz
'x,y,z'
loop_
_atom_site_label
_atom_site_type_symbol
_atom_site_fract_x
_atom_site_fract_y
_atom_site_fract_z
P1 P 0.000 0.000 0.500
Os1 Os 0.500 0.500 0.500
O1 O 0.000 0.500 0.000
O2 O 0.500 0.000 0.000
W1 W 0.000 0.000 0.000